NiAuC2 | GGA-PBE | optimized geometry

Geometry as extended XYZ:
```
8
Lattice="4.6313 0.0000 0.0000 0.0000 4.6313 0.0000 2.3156 2.3156 4.6280" Properties=species:S:1:pos:R:3 pbc="T T T"
C 1.3901 3.4735 1.1570
C 3.2412 1.1578 1.1570
C 3.4735 3.7057 3.4710
C 5.7891 5.5569 3.4710
Ni 2.3156 4.6313 2.3140
Ni 2.3156 2.3156 0.0000
Au 0.0000 0.0000 0.0000
Au 4.6313 2.3156 2.3140
```

Output
energy of formation	1407	meV per atom


Na3Cd2AuO6 | GGA-PBE | optimized geometry

Geometry as extended XYZ:
```
12
Lattice="5.7879 0.0128 -0.0148 -2.8814 5.0196 -0.0148 -0.9840 -1.7038 5.4439" Properties=species:S:1:pos:R:3 pbc="T T T"
O -0.1250 -0.2165 4.3015
O 2.7830 1.8576 4.2300
O 0.2182 3.3389 4.2300
O 1.7043 -0.0102 1.1843
O 2.0475 3.5452 1.1129
O -0.8606 1.4711 1.1843
Na 3.8870 -0.0254 2.7072
Na 0.9612 1.6643 2.7072
Na -1.9646 3.3541 2.7072
Au 0.0000 0.0000 0.0000
Cd 0.0019 3.3544 -0.0148
Cd 2.9045 1.6780 -0.0148
```

Output
E_form (uncorrected)	-0.992	eV/atom


LiLa2TlH | GGA-PBE | optimized geometry

Geometry as extended XYZ:
```
5
Lattice="-0.2531 4.8659 0.5382 -2.6304 0.3193 -4.1243 -4.1932 -0.5096 2.6349" Properties=species:S:1:pos:R:3 pbc="T T T"
La -0.1266 2.4330 0.2691
La -1.3152 0.1597 -2.0621
Li -3.5384 2.3378 -0.4756
H 0.0000 0.0000 0.0000
Tl -2.0966 -0.2548 1.3175
```

Output
raw total energy	-18.52	eV for the cell shown


SmZr2FeN4 | GGA-PBE | optimized geometry

Geometry as extended XYZ:
```
16
Lattice="3.2593 0.0000 0.0000 -1.6296 5.5484 0.0000 0.0000 0.0000 11.1095" Properties=species:S:1:pos:R:3 pbc="T T T"
N 1.6296 0.6704 2.7774
N 0.0000 2.9746 1.3077
N 1.6296 2.5738 6.8624
N 0.0000 2.9746 4.2471
N 1.6296 2.5738 9.8019
N 0.0000 0.0000 5.5548
N 0.0000 0.0000 0.0000
N 0.0000 4.8780 8.3322
Fe 1.6296 3.8170 8.3322
Fe 0.0000 1.7315 2.7774
Sm 0.0000 1.1824 8.3322
Sm 1.6296 4.3660 2.7774
Zr 0.0000 4.0813 10.5478
Zr 0.0000 4.0813 6.1165
Zr 1.6296 1.4671 4.9930
Zr 1.6296 1.4671 0.5618
```

Output
E_form (uncorrected)	-1.258	eV/atom


TlSiPO2 | GGA-PBE | optimized geometry

Geometry as extended XYZ:
```
5
Lattice="-2.4682 -0.3721 3.2352 2.3473 -3.0170 1.4438 2.9980 3.6267 2.7044" Properties=species:S:1:pos:R:3 pbc="T T T"
O -1.2341 -0.1861 1.6176
O 1.1737 -1.5085 0.7219
P 1.4990 1.8134 1.3522
Tl 0.0000 0.0000 0.0000
Si 1.4386 0.1188 3.6917
```

Output
E_form (uncorrected)	0.696	eV/atom


MgGa3Sn | GGA-PBE | optimized geometry

Geometry as extended XYZ:
```
10
Lattice="-0.1504 3.7463 -2.1250 -5.6679 -2.1002 -3.3014 -4.1156 2.8236 5.2694" Properties=species:S:1:pos:R:3 pbc="T T T"
Ga -4.4423 3.6457 2.3717
Ga -2.5825 0.0009 0.1845
Ga -3.1377 0.9798 -2.4206
Ga -4.8985 -0.8573 -1.1645
Ga -7.7941 2.4037 0.4194
Ga -3.8871 2.6668 4.9768
Mg -6.0650 1.1666 2.4862
Mg -0.9598 2.4800 0.0700
Sn -2.1878 1.5010 2.8012
Sn -4.8369 2.1456 -0.2450
```

Output
energy of formation	-3	meV per atom


KP3 | GGA-PBE | optimized geometry

Geometry as extended XYZ:
```
4
Lattice="3.1474 0.0582 0.0000 -0.6665 3.0766 0.0000 0.0000 0.0000 8.0431" Properties=species:S:1:pos:R:3 pbc="T T T"
P 1.2405 1.5674 2.5715
P 1.2405 1.5674 5.4717
P 0.0000 0.0000 4.0216
K 0.0000 0.0000 0.0000
```

Output
energy of formation	489	meV per atom


AsRhBr | GGA-PBE | optimized geometry

Geometry as extended XYZ:
```
3
Lattice="-2.5782 2.4064 -5.4275 0.2104 -0.9360 -6.4012 -0.5566 -2.1185 6.0908" Properties=species:S:1:pos:R:3 pbc="T T T"
Br -0.7286 0.4524 -3.6397
As -0.1034 0.0642 -0.5166
Rh -1.5358 0.9537 -7.6724
```

Output
E_form (uncorrected)	0.038	eV/atom


Tm8CdTc2 | GGA-PBE | optimized geometry

Geometry as extended XYZ:
```
11
Lattice="-4.7537 -2.1396 -1.5872 -0.6980 -1.3545 7.6056 -1.5024 7.3978 -1.7841" Properties=species:S:1:pos:R:3 pbc="T T T"
Cd -2.3768 -1.0698 -0.7936
Tm -4.1625 0.8308 1.1310
Tm -0.9193 2.1855 -0.2345
Tm -0.7047 -0.1499 2.2710
Tm -3.2726 -0.2730 4.5040
Tm -3.6815 4.1766 -0.2696
Tm -2.7915 3.0728 3.1034
Tm -6.0347 1.7181 4.4688
Tm -6.2494 4.0535 1.9633
Tc -1.2477 4.6266 1.1889
Tc -0.9527 1.4167 4.6326
```

Output
energy of formation	-101	meV per atom


NiTeAs2 | GGA-PBE | optimized geometry

Geometry as extended XYZ:
```
4
Lattice="-0.9859 -1.0589 2.5909 -1.9660 -1.7184 -1.4098 6.1628 -6.7212 -0.4018" Properties=species:S:1:pos:R:3 pbc="T T T"
As 0.2532 -0.2761 -0.0165
As 0.4320 -3.4695 0.4661
Ni 2.8542 -3.1128 -0.1861
Te 2.7529 -6.0007 0.3148
```

Output
E_form (uncorrected)	0.282	eV/atom


MgRe2Te | GGA-PBE | optimized geometry

Geometry as extended XYZ:
```
4
Lattice="-0.0036 -4.4659 0.7757 -3.5081 -1.9282 2.1263 -2.8346 -2.6958 -2.2899" Properties=species:S:1:pos:R:3 pbc="T T T"
Mg 0.0000 0.0000 0.0000
Te -3.1731 -4.5450 0.3060
Re -4.7597 -6.8174 0.4591
Re -1.5866 -2.2725 0.1530
```

Output
E_form (uncorrected)	0.714	eV/atom


CdPd2Pt2 | GGA-PBE | optimized geometry

Geometry as extended XYZ:
```
5
Lattice="3.6779 0.0000 0.0000 0.0000 3.6779 0.0000 1.8390 1.8390 6.7621" Properties=species:S:1:pos:R:3 pbc="T T T"
Pd 3.6779 3.6779 5.4326
Pd 1.8390 1.8390 1.3295
Cd 0.0000 0.0000 0.0000
Pt 3.6779 1.8390 3.3810
Pt 1.8390 3.6779 3.3810
```

Output
energy of formation	80	meV per atom


Please write out number 3 again, unchanged.
LiLa2TlH | GGA-PBE | optimized geometry

Geometry as extended XYZ:
```
5
Lattice="-0.2531 4.8659 0.5382 -2.6304 0.3193 -4.1243 -4.1932 -0.5096 2.6349" Properties=species:S:1:pos:R:3 pbc="T T T"
La -0.1266 2.4330 0.2691
La -1.3152 0.1597 -2.0621
Li -3.5384 2.3378 -0.4756
H 0.0000 0.0000 0.0000
Tl -2.0966 -0.2548 1.3175
```

Output
raw total energy	-18.52	eV for the cell shown